# 1
{"formula": "K4Pu3HfO12", "functional": "GGA-PBE", "state": "optimized geometry", "lattice_angstrom": [[7.326, 0.000, 0.000], [-2.442, 6.907, 0.000], [-2.442, -3.453, 5.981]], "species": ["K", "K", "K", "K", "Pu", "Pu", "Pu", "Hf", "O", "O", "O", "O", "O", "O", "O", "O", "O", "O", "O", "O"], "fractional_positions": [[0.500, 0.500, 0.500], [0.000, 0.000, 0.500], [0.500, 0.000, 0.000], [0.000, 0.500, 0.000], [0.500, 0.000, 0.500], [0.500, 0.500, 0.000], [0.000, 0.500, 0.500], [0.000, 0.000, 0.000], [0.250, 0.500, 0.750], [0.750, 0.000, 0.750], [0.250, 0.000, 0.250], [0.750, 0.500, 0.250], [0.750, 0.750, 0.000], [0.250, 0.250, 0.000], [0.750, 0.250, 0.500], [0.250, 0.750, 0.500], [0.500, 0.250, 0.750], [0.000, 0.750, 0.750], [0.500, 0.750, 0.250], [0.000, 0.250, 0.250]], "spacegroup": "Im-3m (229)", "magnetic_moment_mub_per_cell": 8.00, "e_form_raw_mev_per_atom": -2621}

# 2
{"formula": "K2PuHfO6", "functional": "GGA-PBE", "state": "optimized geometry", "lattice_angstrom": [[5.913, 0.000, 0.000], [0.000, 5.913, 0.000], [0.000, 0.000, 8.362]], "species": ["K", "K", "K", "K", "Pu", "Pu", "Hf", "Hf", "O", "O", "O", "O", "O", "O", "O", "O", "O", "O", "O", "O"], "fractional_positions": [[0.500, 0.750, 0.250], [0.000, 0.250, 0.750], [0.500, 0.750, 0.750], [0.000, 0.250, 0.250], [0.500, 0.250, 0.500], [0.000, 0.750, 0.000], [0.000, 0.750, 0.500], [0.500, 0.250, 0.000], [0.500, 0.250, 0.251], [0.500, 0.250, 0.749], [0.000, 0.750, 0.249], [0.000, 0.750, 0.751], [0.251, 0.000, 0.500], [0.749, 0.000, 0.500], [0.250, 0.499, 0.500], [0.750, 0.499, 0.500], [0.750, 0.501, 0.000], [0.250, 0.501, 0.000], [0.249, 0.000, 0.000], [0.751, 0.000, 0.000]], "spacegroup": "Fm-3m (225)", "magnetic_moment_mub_per_cell": 4.00, "e_form_raw_mev_per_atom": -2663}

# 3
{"formula": "KPuHf2O8", "functional": "GGA-PBE", "state": "optimized geometry", "lattice_angstrom": [[5.068, 0.068, -0.003], [0.119, 5.053, -0.005], [0.005, 0.008, 6.717]], "species": ["K", "Pu", "Hf", "Hf", "O", "O", "O", "O", "O", "O", "O", "O"], "fractional_positions": [[0.000, 0.000, 0.500], [0.000, 0.000, 0.000], [0.500, 0.500, 0.739], [0.500, 0.500, 0.261], [0.206, 0.791, 0.200], [0.703, 0.705, 0.000], [0.794, 0.208, 0.200], [0.794, 0.209, 0.800], [0.297, 0.295, 0.000], [0.206, 0.792, 0.800], [0.665, 0.670, 0.500], [0.335, 0.330, 0.500]], "spacegroup": "P2/m (10)", "magnetic_moment_mub_per_cell": 1.00, "e_form_raw_mev_per_atom": -2688}

# 4
{"formula": "K3Pu2HfO9", "functional": "GGA-PBE", "state": "optimized geometry", "lattice_angstrom": [[5.952, 0.000, 0.000], [-2.976, 5.155, 0.000], [0.000, 0.000, 7.305]], "species": ["K", "K", "K", "Pu", "Pu", "Hf", "O", "O", "O", "O", "O", "O", "O", "O", "O"], "fractional_positions": [[0.333, 0.667, 0.663], [0.000, 0.000, 0.000], [0.667, 0.333, 0.337], [0.333, 0.667, 0.172], [0.667, 0.333, 0.828], [0.000, 0.000, 0.500], [0.834, 0.166, 0.666], [0.834, 0.668, 0.666], [0.332, 0.166, 0.666], [0.668, 0.834, 0.334], [0.166, 0.332, 0.334], [0.166, 0.834, 0.334], [0.500, 0.000, 0.000], [0.000, 0.500, 0.000], [0.500, 0.500, 0.000]], "spacegroup": "P-3m1 (164)", "magnetic_moment_mub_per_cell": 5.00, "e_form_raw_mev_per_atom": -2640}

Number 1: density 6.9 g cm⁻³. Number 2: density 6.8 g cm⁻³. Number 3: density 7.4 g cm⁻³. Number 4: density 6.9 g cm⁻³.